## i
# NaNiH2 PBE-GGA optimized geometry
# magnetic moment	0.00	Bohr magnetons per cell
# V	40	Å³/f.u.
data_NaNiH2
_chemical_formula_sum 'Na4 Ni4 H8'
_cell_length_a 2.731
_cell_length_b 11.293
_cell_length_c 5.210
_cell_angle_alpha 90.00
_cell_angle_beta 90.00
_cell_angle_gamma 90.00
_symmetry_space_group_name_H-M 'C m c m'
_symmetry_Int_Tables_number 63
_symmetry_space_group_name_Hall '-C 2c 2'
loop_
_atom_site_label
_atom_site_type_symbol
_atom_site_fract_x
_atom_site_fract_y
_atom_site_fract_z
_atom_site_occupancy
Na1 Na 0.000 0.149 0.250 1
Ni1 Ni 0.000 0.416 0.250 1
H1 H 0.000 0.167 0.750 1
H2 H 0.000 0.500 0.000 1


## ii
# NaNiH2 PBE-GGA optimized geometry
# magnetic moment	0.00	Bohr magnetons per cell
# V	35	Å³/f.u.
data_NaNiH2
_chemical_formula_sum 'Na2 Ni2 H4'
_cell_length_a 4.948
_cell_length_b 2.825
_cell_length_c 5.321
_cell_angle_alpha 90.00
_cell_angle_beta 108.45
_cell_angle_gamma 90.00
_symmetry_space_group_name_H-M 'C 1 2/m 1'
_symmetry_Int_Tables_number 12
_symmetry_space_group_name_Hall '-C 2y'
loop_
_atom_site_label
_atom_site_type_symbol
_atom_site_fract_x
_atom_site_fract_y
_atom_site_fract_z
_atom_site_occupancy
Na1 Na 0.000 0.000 0.000 1
Ni1 Ni 0.000 0.500 0.500 1
H1 H 0.215 0.000 0.650 1


Which of them is the least stable? Correct choice: ii.


## i
# Na2NiH PBE-GGA optimized geometry
# magnetic moment	3.26	Bohr magnetons per cell
# V	75	Å³/f.u.
data_Na2NiH
_chemical_formula_sum 'Na8 Ni4 H4'
_cell_length_a 6.687
_cell_length_b 6.687
_cell_length_c 6.687
_cell_angle_alpha 90.00
_cell_angle_beta 90.00
_cell_angle_gamma 90.00
_symmetry_space_group_name_H-M 'F m -3 m'
_symmetry_Int_Tables_number 225
_symmetry_space_group_name_Hall '-F 4 2 3'
loop_
_atom_site_label
_atom_site_type_symbol
_atom_site_fract_x
_atom_site_fract_y
_atom_site_fract_z
_atom_site_occupancy
Na1 Na 0.250 0.250 0.250 1
Ni1 Ni 0.000 0.000 0.000 1
H1 H 0.000 0.000 0.500 1


## ii
# Na2NiH PBE-GGA optimized geometry
# magnetic moment	3.40	Bohr magnetons per cell
# V	79	Å³/f.u.
data_Na2NiH
_chemical_formula_sum 'Na8 Ni4 H4'
_cell_length_a 6.508
_cell_length_b 6.508
_cell_length_c 7.481
_cell_angle_alpha 90.00
_cell_angle_beta 90.00
_cell_angle_gamma 90.00
_symmetry_space_group_name_H-M 'I -4 2 d'
_symmetry_Int_Tables_number 122
_symmetry_space_group_name_Hall 'I -4 2bw'
loop_
_atom_site_label
_atom_site_type_symbol
_atom_site_fract_x
_atom_site_fract_y
_atom_site_fract_z
_atom_site_occupancy
Na1 Na 0.156 0.250 0.125 1
Ni1 Ni 0.000 0.000 0.500 1
H1 H 0.000 0.000 0.000 1


Which of them is the least stable? Correct choice: i.


## i
# NaP2HO PBE-GGA optimized geometry
# magnetic moment	0.43	Bohr magnetons per cell
# V	62	Å³/f.u.
data_NaP2HO
_chemical_formula_sum 'Na1 P2 H1 O1'
_cell_length_a 3.510
_cell_length_b 3.510
_cell_length_c 5.055
_cell_angle_alpha 90.00
_cell_angle_beta 90.00
_cell_angle_gamma 90.00
_symmetry_space_group_name_H-M 'P 4/m m m'
_symmetry_Int_Tables_number 123
_symmetry_space_group_name_Hall '-P 4 2'
loop_
_atom_site_label
_atom_site_type_symbol
_atom_site_fract_x
_atom_site_fract_y
_atom_site_fract_z
_atom_site_occupancy
Na1 Na 0.000 0.000 0.000 1
P1 P 0.000 0.500 0.500 1
H1 H 0.500 0.500 0.500 1
O1 O 0.500 0.500 0.000 1


## ii
# NaP2HO PBE-GGA optimized geometry
# magnetic moment	0.01	Bohr magnetons per cell
# V	100	Å³/f.u.
data_NaP2HO
_chemical_formula_sum 'Na1 P2 H1 O1'
_cell_length_a 4.943
_cell_length_b 4.943
_cell_length_c 4.101
_cell_angle_alpha 90.00
_cell_angle_beta 90.00
_cell_angle_gamma 90.00
_symmetry_space_group_name_H-M 'P 4/m m m'
_symmetry_Int_Tables_number 123
_symmetry_space_group_name_Hall '-P 4 2'
loop_
_atom_site_label
_atom_site_type_symbol
_atom_site_fract_x
_atom_site_fract_y
_atom_site_fract_z
_atom_site_occupancy
Na1 Na 0.000 0.000 0.000 1
P1 P 0.000 0.500 0.000 1
H1 H 0.500 0.500 0.500 1
O1 O 0.000 0.000 0.500 1


Which of them is the least stable? Correct choice: ii.